[1]
SbRu2Rh | GGA-PBEsol | optimized geometry

Output
Formation energy without anion corrections = 0.120 eV per atom
Magnetic moment = 0.0 μB per formula unit
VASP energy = -8.140 eV/atom

a b c (Å): 3.8454 3.9288 3.9288
angles (deg): 90.00 90.00 90.00
Closest atoms and distances in Å follow each position.
Atoms (fractional coordinates):
Ru 0.0000 0.0000 0.5000  4 Sb 2.75, 4 Rh 2.75, 4 Ru 2.78
Rh 0.5000 0.0000 0.0000  8 Ru 2.75, 4 Sb 2.78
Ru 0.0000 0.5000 0.0000  4 Sb 2.75, 4 Rh 2.75, 4 Ru 2.78
Sb 0.5000 0.5000 0.5000  8 Ru 2.75, 4 Rh 2.78


[2]
SbRu2Rh | GGA-PBEsol | optimized geometry

Output
Formation energy without anion corrections = 0.121 eV per atom
Magnetic moment = 0.0 μB per formula unit
VASP energy = -8.139 eV/atom

a b c (Å): 2.8638 4.6874 4.8310
angles (deg): 103.05 90.00 107.79
Closest atoms and distances in Å follow each position.
Atoms (fractional coordinates):
Sb 0.0000 0.0000 0.5000  6 Ru 2.68-2.88, 4 Rh 2.81, 2 Sb 2.86
Rh 0.5000 0.0000 0.0000  6 Ru 2.68-2.69, 4 Sb 2.81, 2 Rh 2.86
Ru 0.2545 0.5091 0.2290  4 Ru 2.62-2.86, 3 Rh 2.68-2.69, 3 Sb 2.68-2.88
Ru 0.7455 0.4909 0.7710  4 Ru 2.62-2.86, 3 Rh 2.68-2.69, 3 Sb 2.68-2.88


[3]
SbRu2Rh | GGA-PBEsol | optimized geometry

Output
Formation energy without anion corrections = 0.141 eV per atom
Magnetic moment = 0.0 μB per formula unit
VASP energy = -8.119 eV/atom

a b c (Å): 2.8751 3.7603 5.5726
angles (deg): 90.00 90.00 90.00
Closest atoms and distances in Å follow each position.
Atoms (fractional coordinates):
Rh 0.5000 0.5000 0.7528  5 Ru 2.61-2.79, 4 Sb 2.73, 2 Rh 2.88
Ru 0.5000 0.5000 0.2216  1 Rh 2.61, 6 Ru 2.62-2.88, 4 Sb 2.85
Sb 0.0000 0.0000 0.5076  6 Ru 2.73-2.85, 4 Rh 2.73, 2 Sb 2.88
Ru 0.0000 0.0000 0.0180  6 Ru 2.62-2.88, 2 Sb 2.73-2.84, 4 Rh 2.79


[4]
Sc2RuRh | GGA-PBEsol | optimized geometry

Output
E_form = -298 kJ/mol of formula units
Magnetic moment = 0.0 μB per formula unit
VASP energy = -8.652 eV/atom

a b c (Å): 3.1710 3.1710 6.3356
angles (deg): 90.00 90.00 90.00
Closest atoms and distances in Å follow each position.
Atoms (fractional coordinates):
Rh 0.5000 0.5000 0.0000  8 Sc 2.76
Sc 0.0000 0.0000 0.2544  4 Ru 2.73, 4 Rh 2.76
Ru 0.5000 0.5000 0.5000  8 Sc 2.73
Sc 0.0000 0.0000 0.7456  4 Ru 2.73, 4 Rh 2.76


[5]
ScRuRh2 | GGA-PBEsol | optimized geometry

Output
E_form = -122 kJ/mol of formula units
Magnetic moment = 0.0 μB per formula unit
VASP energy = -8.579 eV/atom

a b c (Å): 2.7930 4.7288 4.7274
angles (deg): 100.34 107.18 90.00
Closest atoms and distances in Å follow each position.
Atoms (fractional coordinates):
Rh 0.2484 0.7257 0.4967  3 Ru 2.61-2.65, 4 Sc 2.71-2.78, 5 Rh 2.75-2.83
Ru 0.5064 0.5379 0.0128  7 Rh 2.61-2.88, 2 Ru 2.79, 3 Sc 2.84-2.85
Sc 0.7493 0.2353 0.4987  7 Rh 2.67-2.78, 2 Sc 2.79, 3 Ru 2.84-2.85
Rh 0.9959 0.0011 0.9918  4 Ru 2.61-2.88, 3 Sc 2.67-2.73, 5 Rh 2.75-2.83


[6]
ScRuRh2 | GGA-PBEsol | optimized geometry

Output
E_form = -58 kJ/mol of formula units
Magnetic moment = 2.8 μB per formula unit
VASP energy = -8.414 eV/atom

a b c (Å): 4.3959 4.3959 4.3959
angles (deg): 60.00 60.00 60.00
Closest atoms and distances in Å follow each position.
Atoms (fractional coordinates):
Sc 0.0000 0.0000 0.0000  8 Rh 2.69
Ru 0.5000 0.5000 0.5000  8 Rh 2.69
Rh 0.2500 0.2500 0.2500  4 Sc 2.69, 4 Ru 2.69
Rh 0.7500 0.7500 0.7500  4 Ru 2.69, 4 Sc 2.69